First-principles (PBE) data for YHfNpO6 after structural relaxation, as listed in Alexandria via LeMat-Bulk.

Unit cell a=5.5967 b=5.5967 c=9.5528 alpha=90.00 beta=90.00 gamma=120.00
Last column: nearest neighbours and their distance in Å.
Fractional positions:
O (0.0070, 0.3520, 0.1361)  1 Hf 2.10, 1 Np 2.15, 1 Y 2.34
O (0.9930, 0.3449, 0.6361)  1 Hf 2.10, 1 Np 2.15, 1 Y 2.34
O (0.6480, 0.9930, 0.3639)  1 Hf 2.10, 1 Np 2.15, 1 Y 2.34
O (0.6551, 0.0070, 0.8639)  1 Hf 2.10, 1 Np 2.15, 1 Y 2.34
O (0.3449, 0.3520, 0.3639)  1 Hf 2.10, 1 Np 2.15, 1 Y 2.34
O (0.3520, 0.3449, 0.8639)  1 Hf 2.10, 1 Np 2.15, 1 Y 2.34
O (0.3520, 0.0070, 0.6361)  1 Hf 2.10, 1 Np 2.15, 1 Y 2.34
O (0.6551, 0.6480, 0.6361)  1 Hf 2.10, 1 Np 2.15, 1 Y 2.34
O (0.6480, 0.6551, 0.1361)  1 Hf 2.10, 1 Np 2.15, 1 Y 2.34
O (0.3449, 0.9930, 0.1361)  1 Hf 2.10, 1 Np 2.15, 1 Y 2.34
O (0.9930, 0.6480, 0.8639)  1 Hf 2.10, 1 Np 2.15, 1 Y 2.34
O (0.0070, 0.6551, 0.3639)  1 Hf 2.10, 1 Np 2.15, 1 Y 2.34
Y (0.0000, 0.0000, 0.5000)  6 O 2.34
Y (0.0000, 0.0000, 0.0000)  6 O 2.34
Np (0.3333, 0.6667, 0.7500)  6 O 2.15
Np (0.6667, 0.3333, 0.2500)  6 O 2.15
Hf (0.3333, 0.6667, 0.2500)  6 O 2.10
Hf (0.6667, 0.3333, 0.7500)  6 O 2.10

***

First-principles (PBE) data for HfZrNpO6 after structural relaxation, as listed in Alexandria via LeMat-Bulk.

Unit cell a=5.4735 b=5.4735 c=9.5778 alpha=90.00 beta=90.00 gamma=120.00
Last column: nearest neighbours and their distance in Å.
Fractional positions:
O (0.6585, 0.6538, 0.6342)  1 Hf 2.09, 1 Zr 2.13, 1 Np 2.28
O (0.3415, 0.9953, 0.1342)  1 Hf 2.09, 1 Zr 2.13, 1 Np 2.28
O (0.6585, 0.0047, 0.8658)  1 Hf 2.09, 1 Zr 2.13, 1 Np 2.28
O (0.6538, 0.6585, 0.1342)  1 Hf 2.09, 1 Zr 2.13, 1 Np 2.28
O (0.0047, 0.3462, 0.1342)  1 Hf 2.09, 1 Zr 2.13, 1 Np 2.28
O (0.3462, 0.0047, 0.6342)  1 Hf 2.09, 1 Zr 2.13, 1 Np 2.28
O (0.9953, 0.6538, 0.8658)  1 Hf 2.09, 1 Zr 2.13, 1 Np 2.28
O (0.9953, 0.3415, 0.6342)  1 Hf 2.09, 1 Zr 2.13, 1 Np 2.28
O (0.3415, 0.3462, 0.3658)  1 Hf 2.09, 1 Zr 2.13, 1 Np 2.28
O (0.3462, 0.3415, 0.8658)  1 Hf 2.09, 1 Zr 2.13, 1 Np 2.28
O (0.6538, 0.9953, 0.3658)  1 Hf 2.09, 1 Zr 2.13, 1 Np 2.28
O (0.0047, 0.6585, 0.3658)  1 Hf 2.09, 1 Zr 2.13, 1 Np 2.28
Zr (0.3333, 0.6667, 0.7500)  6 O 2.13
Zr (0.6667, 0.3333, 0.2500)  6 O 2.13
Hf (0.6667, 0.3333, 0.7500)  6 O 2.09
Hf (0.3333, 0.6667, 0.2500)  6 O 2.09
Np (0.0000, 0.0000, 0.5000)  6 O 2.28
Np (0.0000, 0.0000, 0.0000)  6 O 2.28

***

First-principles (PBE) data for Hf2NpOs after structural relaxation, as listed in Alexandria via LeMat-Bulk.

Computed properties:
formation energy: 0.17 eV/atom
distance to the lowest polymorph of the same formula: 276 meV per atom

Unit cell a=4.7665 b=4.7665 c=4.7665 alpha=60.00 beta=60.00 gamma=60.00
Last column: nearest neighbours and their distance in Å.
Fractional positions:
Os (0.5000, 0.5000, 0.5000)  8 Hf 2.92
Hf (0.2500, 0.2500, 0.2500)  4 Os 2.92, 4 Np 2.92
Hf (0.7500, 0.7500, 0.7500)  4 Os 2.92, 4 Np 2.92
Np (0.0000, 0.0000, 0.0000)  8 Hf 2.92

***

First-principles (PBE) data for Hf2NpOs after structural relaxation, as listed in Alexandria via LeMat-Bulk.

Computed properties:
formation energy: 0.12 eV/atom
distance to the lowest polymorph of the same formula: 228 meV per atom

Unit cell a=3.2004 b=4.8949 c=4.8949 alpha=90.00 beta=90.00 gamma=90.00
Last column: nearest neighbours and their distance in Å.
Fractional positions:
Np (0.5000, 0.0000, 0.0000)  8 Hf 2.92, 2 Np 3.20
Os (0.5000, 0.5000, 0.5000)  8 Hf 2.92, 2 Os 3.20
Hf (0.0000, 0.0000, 0.5000)  4 Os 2.92, 4 Np 2.92, 2 Hf 3.20
Hf (0.0000, 0.5000, 0.0000)  4 Os 2.92, 4 Np 2.92, 2 Hf 3.20

***

First-principles (PBE) data for Hf2NpOs after structural relaxation, as listed in Alexandria via LeMat-Bulk.

Computed properties:
formation energy: -0.11 eV/atom
distance to the lowest polymorph of the same formula: 0 meV per atom

Unit cell a=3.1985 b=3.1985 c=7.8202 alpha=90.00 beta=90.00 gamma=90.00
Last column: nearest neighbours and their distance in Å.
Fractional positions:
Os (0.5000, 0.5000, 0.0000)  8 Hf 2.80
Hf (0.0000, 0.0000, 0.2111)  4 Os 2.80
Hf (0.0000, 0.0000, 0.7889)  4 Os 2.80
Np (0.5000, 0.5000, 0.5000)  8 Hf 3.20, 4 Np 3.20

***

First-principles (PBE) data for HfNpOs4 after structural relaxation, as listed in Alexandria via LeMat-Bulk.

Computed properties:
formation energy: -0.12 eV/atom

Unit cell a=5.2843 b=5.2843 c=5.2843 alpha=60.00 beta=60.00 gamma=60.00
Last column: nearest neighbours and their distance in Å.
Fractional positions:
Os (0.6253, 0.6253, 0.6253)  6 Os 2.63-2.65
Os (0.6253, 0.1240, 0.6253)  6 Os 2.63-2.65
Os (0.1240, 0.6253, 0.6253)  6 Os 2.63-2.65
Os (0.6253, 0.6253, 0.1240)  6 Os 2.63-2.65
Hf (0.0000, 0.0000, 0.0000)  12 Os 3.10, 4 Np 3.24
Np (0.2500, 0.2500, 0.2500)  12 Os 3.10, 4 Hf 3.24

***

First-principles (PBE) data for HfNpTaOs after structural relaxation, as listed in Alexandria via LeMat-Bulk.

Computed properties:
formation energy: 0.21 eV/atom

Unit cell a=4.7057 b=4.7057 c=4.7057 alpha=60.00 beta=60.00 gamma=60.00
Last column: nearest neighbours and their distance in Å.
Fractional positions:
Ta (0.2500, 0.2500, 0.2500)  4 Np 2.88, 4 Os 2.88
Os (0.5000, 0.5000, 0.5000)  4 Hf 2.88, 4 Ta 2.88
Np (0.0000, 0.0000, 0.0000)  4 Hf 2.88, 4 Ta 2.88
Hf (0.7500, 0.7500, 0.7500)  4 Os 2.88, 4 Np 2.88

***

First-principles (PBE) data for HfZrNpOs after structural relaxation, as listed in Alexandria via LeMat-Bulk.

Computed properties:
formation energy: 0.17 eV/atom

Unit cell a=4.7850 b=4.7850 c=4.7850 alpha=60.00 beta=60.00 gamma=60.00
Last column: nearest neighbours and their distance in Å.
Fractional positions:
Zr (0.2500, 0.2500, 0.2500)  4 Os 2.93, 4 Np 2.93
Hf (0.7500, 0.7500, 0.7500)  4 Np 2.93, 4 Os 2.93
Os (0.5000, 0.5000, 0.5000)  4 Zr 2.93, 4 Hf 2.93
Np (0.0000, 0.0000, 0.0000)  4 Zr 2.93, 4 Hf 2.93

***

Table of total energy (eV/atom), in record order: -9.81, -9.99, -10.85, -10.90, -11.13, -11.42, -11.29, -10.50